Entry 1:
Computed, not measured: a PBEsol-optimized structure of RbSrTlAg2 at the meta-GGA SCAN level of DFT.

calculated total energy: -1.3018 Ha/atom

a b c (Å): 5.470 5.470 6.017
angles (deg): 90.00 90.00 90.00
Fractional positions:
Rb: 0.000 0.000 0.000
Sr: 0.500 0.500 0.000
Tl: 0.500 0.500 0.500
Ag: 0.000 0.500 0.500
Ag: 0.500 0.000 0.500

Entry 2:
Computed, not measured: a PBEsol-optimized structure of KScW2O8 at the meta-GGA SCAN level of DFT.

formation energy without anion corrections: -2652 meV/atom

a b c (Å): 5.819 5.819 7.155
angles (deg): 90.00 90.00 120.00
Fractional positions:
K: 0.000 0.000 0.000
Sc: 0.000 0.000 0.500
W: 0.333 0.667 0.756
W: 0.667 0.333 0.244
O: 0.164 0.328 0.676
O: 0.164 0.836 0.676
O: 0.328 0.164 0.324
O: 0.333 0.667 0.001
O: 0.667 0.333 0.999
O: 0.672 0.836 0.676
O: 0.836 0.164 0.324
O: 0.836 0.672 0.324

Entry 3:
Computed, not measured: a PBEsol-optimized structure of TeHSeI2 at the meta-GGA SCAN level of DFT.

calculated total energy: -0.9600 Ha/atom

a b c (Å): 5.543 5.543 3.807
angles (deg): 90.00 90.00 90.00
Fractional positions:
Te: 0.000 0.000 0.000
H: 0.000 0.000 0.500
Se: 0.500 0.500 0.000
I: 0.000 0.500 0.500
I: 0.500 0.000 0.500

Entry 4:
Computed, not measured: a PBEsol-optimized structure of FeMoPtRh2 at the meta-GGA SCAN level of DFT.

calculated total energy: -1.3487 Ha/atom

a b c (Å): 4.523 4.523 4.275
angles (deg): 90.00 90.00 90.00
Fractional positions:
Fe: 0.000 0.000 0.000
Mo: 0.000 0.000 0.500
Pt: 0.500 0.500 0.000
Rh: 0.000 0.500 0.500
Rh: 0.500 0.000 0.500

Entry 5:
Computed, not measured: a PBEsol-optimized structure of CaZn at the meta-GGA SCAN level of DFT.

calculated total energy: -0.4347 Ha/atom

a b c (Å): 5.111 5.111 4.667
angles (deg): 90.00 90.00 120.00
Fractional positions:
Ca: 0.333 0.667 0.250
Ca: 0.667 0.333 0.750
Zn: 0.000 0.000 0.000
Zn: 0.000 0.000 0.500

Entry 6:
Computed, not measured: a PBEsol-optimized structure of K2SiW at the meta-GGA SCAN level of DFT.

formation energy without anion corrections: 1217 meV/atom

a b c (Å): 2.833 5.950 4.832
angles (deg): 90.00 95.56 90.00
Fractional positions:
K: 0.227 0.000 0.255
K: 0.773 0.000 0.745
Si: 0.000 0.500 0.500
W: 0.500 0.500 0.000

Entry 7:
Computed, not measured: a PBEsol-optimized structure of Sb4Te3Se3 at the meta-GGA SCAN level of DFT.

formation energy without anion corrections: -178 meV/atom

a b c (Å): 10.033 10.033 7.169
angles (deg): 96.91 96.91 23.83
Fractional positions:
Sb: 0.000 0.000 0.000
Sb: 0.319 0.319 0.100
Sb: 0.501 0.501 0.490
Sb: 0.816 0.816 0.600
Te: 0.091 0.091 0.691
Te: 0.227 0.227 0.400
Te: 0.727 0.727 0.907
Se: 0.410 0.410 0.798
Se: 0.578 0.578 0.189
Se: 0.909 0.909 0.299

Entry 8:
Computed, not measured: a PBEsol-optimized structure of Ba3ErB9O18 at the meta-GGA SCAN level of DFT.

formation energy without anion corrections: -2965 meV/atom

a b c (Å): 7.199 7.199 16.620
angles (deg): 90.00 90.00 120.00
Fractional positions:
Ba: 0.000 0.000 0.250
Ba: 0.000 0.000 0.750
Ba: 0.333 0.667 0.129
Ba: 0.333 0.667 0.371
Ba: 0.667 0.333 0.629
Ba: 0.667 0.333 0.871
Er: 0.000 0.000 0.000
Er: 0.000 0.000 0.500
B: 0.115 0.621 0.750
B: 0.165 0.448 0.583
B: 0.165 0.448 0.917
B: 0.283 0.835 0.583
B: 0.283 0.835 0.917
B: 0.379 0.495 0.750
B: 0.448 0.283 0.083
B: 0.448 0.283 0.417
B: 0.495 0.115 0.250
B: 0.505 0.885 0.750
B: 0.552 0.717 0.583
B: 0.552 0.717 0.917
B: 0.621 0.505 0.250
B: 0.717 0.165 0.083
B: 0.717 0.165 0.417
B: 0.835 0.552 0.083
B: 0.835 0.552 0.417
B: 0.885 0.379 0.250
O: 0.003 0.246 0.582
O: 0.003 0.246 0.918
O: 0.084 0.415 0.250
O: 0.122 0.618 0.582
O: 0.122 0.618 0.918
O: 0.167 0.456 0.750
O: 0.242 0.997 0.582
O: 0.242 0.997 0.918
O: 0.246 0.242 0.082
O: 0.246 0.242 0.418
O: 0.290 0.833 0.750
O: 0.331 0.916 0.250
O: 0.382 0.503 0.582
O: 0.382 0.503 0.918
O: 0.415 0.331 0.750
O: 0.456 0.290 0.250
O: 0.497 0.878 0.582
O: 0.497 0.878 0.918
O: 0.503 0.122 0.082
O: 0.503 0.122 0.418
O: 0.544 0.710 0.750
O: 0.585 0.669 0.250
O: 0.618 0.497 0.082
O: 0.618 0.497 0.418
O: 0.669 0.084 0.750
O: 0.710 0.167 0.250
O: 0.754 0.758 0.582
O: 0.754 0.758 0.918
O: 0.758 0.003 0.082
O: 0.758 0.003 0.418
O: 0.833 0.544 0.250
O: 0.878 0.382 0.082
O: 0.878 0.382 0.418
O: 0.916 0.585 0.750
O: 0.997 0.754 0.082
O: 0.997 0.754 0.418

no.,calculated volume (Å³/f.u.)
1,180
2,210
3,117
4,87
5,53
6,81
7,289
8,373